No. 1
CeBiI, relaxed, DFT PBE-GGA; polymorph energy (0 for the lowest one) = 0.39 eV per formula unit; formation energy (no corrections) = -0.578 eV per atom
1.0
-2.408 2.408 8.684
2.408 -2.408 8.684
2.408 2.408 -8.684
Ce Bi I
2 2 2
direct
0.132 0.132 0.000
0.868 0.868 0.000
0.318 0.318 0.000
0.682 0.682 0.000
0.000 0.500 0.500
0.500 0.000 0.500

No. 2
Ce2BiI, relaxed, DFT PBE-GGA; polymorph energy (0 for the lowest one) = 0.18 eV per formula unit; formation energy (no corrections) = -0.750 eV per atom
1.0
2.178 1.258 8.278
-2.178 1.258 8.278
0.000 -2.515 8.278
Ce Bi I
2 1 1
direct
0.000 0.000 0.000
0.176 0.176 0.176
0.588 0.588 0.588
0.756 0.756 0.756

No. 3
Ce3Bi2I, relaxed, DFT PBE-GGA; formation energy (no corrections) = -0.808 eV per atom
1.0
4.010 -6.938 0.000
4.010 6.938 0.000
-2.665 0.000 7.351
Ce Bi I
6 4 2
direct
0.084 0.414 0.753
0.245 0.245 0.245
0.414 0.084 0.753
0.586 0.916 0.247
0.755 0.755 0.755
0.916 0.586 0.247
0.000 0.000 0.500
0.169 0.831 0.000
0.500 0.500 0.000
0.831 0.169 0.000
0.334 0.666 0.500
0.666 0.334 0.500

No. 4
CeBiI2, relaxed, DFT PBE-GGA; formation energy (no corrections) = -0.586 eV per atom
1.0
1.953 1.127 11.374
-1.953 1.127 11.374
0.000 -2.255 11.374
Ce Bi I
1 1 2
direct
0.000 0.000 0.000
0.500 0.500 0.500
0.398 0.398 0.398
0.602 0.602 0.602

No. 5
Ce6BiI8, relaxed, DFT PBE-GGA; formation energy (no corrections) = -1.068 eV per atom
1.0
3.834 2.213 11.627
-3.834 2.213 11.627
0.000 -4.427 11.627
Ce Bi I
6 1 8
direct
0.053 0.393 0.712
0.288 0.947 0.607
0.393 0.712 0.053
0.607 0.288 0.947
0.712 0.053 0.393
0.947 0.607 0.288
0.000 0.000 0.000
0.110 0.783 0.437
0.217 0.563 0.890
0.333 0.333 0.333
0.437 0.110 0.783
0.563 0.890 0.217
0.667 0.667 0.667
0.783 0.437 0.110
0.890 0.217 0.563

No. 6
CeBiI, relaxed, DFT PBE-GGA; polymorph energy (0 for the lowest one) = 0.00 eV per formula unit; formation energy (no corrections) = -0.710 eV per atom
1.0
-1.869 1.869 7.726
1.869 -1.869 7.726
1.869 1.869 -7.726
Ce Bi I
1 1 1
direct
0.000 0.000 0.000
0.356 0.356 0.000
0.627 0.627 0.000

No. 7
Ce3Bi2I2, relaxed, DFT PBE-GGA; formation energy (no corrections) = -0.881 eV per atom
1.0
4.524 0.000 0.000
-0.003 7.892 0.000
-2.259 -1.333 7.492
Ce Bi I
3 2 2
direct
0.000 0.000 0.000
0.250 0.767 0.501
0.750 0.233 0.499
0.383 0.142 0.764
0.617 0.858 0.236
0.125 0.381 0.249
0.875 0.619 0.751

No. 8
Ce2BiI, relaxed, DFT PBE-GGA; polymorph energy (0 for the lowest one) = 0.26 eV per formula unit; formation energy (no corrections) = -0.730 eV per atom
1.0
3.945 0.000 0.000
0.000 3.945 0.000
0.000 0.000 7.939
Ce Bi I
2 1 1
direct
0.000 0.000 0.233
0.000 0.000 0.767
0.500 0.500 0.000
0.500 0.500 0.500

No. 9
Ce7BiI12, relaxed, DFT PBE-GGA; formation energy (no corrections) = -1.167 eV per atom
1.0
8.199 4.734 3.576
-8.199 4.734 3.576
0.000 -9.467 3.576
Ce Bi I
7 1 12
direct
0.000 0.000 0.000
0.152 0.376 0.446
0.376 0.446 0.152
0.446 0.152 0.376
0.554 0.848 0.624
0.624 0.554 0.848
0.848 0.624 0.554
0.500 0.500 0.500
0.021 0.345 0.100
0.100 0.021 0.345
0.196 0.731 0.574
0.269 0.426 0.804
0.345 0.100 0.021
0.426 0.804 0.269
0.574 0.196 0.731
0.655 0.900 0.979
0.731 0.574 0.196
0.804 0.269 0.426
0.900 0.979 0.655
0.979 0.655 0.900

No. 10
Ce4BiI5, relaxed, DFT PBE-GGA; polymorph energy (0 for the lowest one) = 2.05 eV per formula unit; formation energy (no corrections) = -0.861 eV per atom
1.0
11.051 -2.061 0.000
11.051 2.061 0.000
-2.042 0.000 9.287
Ce Bi I
4 1 5
direct
0.061 0.061 0.264
0.062 0.062 0.800
0.938 0.938 0.200
0.939 0.939 0.736
0.500 0.500 0.000
0.328 0.328 0.173
0.330 0.330 0.655
0.500 0.500 0.500
0.670 0.670 0.345
0.672 0.672 0.827

No. 11
Ce4Bi3I, relaxed, DFT PBE-GGA; formation energy (no corrections) = -0.809 eV per atom
1.0
6.493 -4.547 0.000
6.493 4.547 0.000
-0.041 0.000 4.639
Ce Bi I
4 3 1
direct
0.246 0.754 0.000
0.248 0.248 0.500
0.752 0.752 0.500
0.754 0.246 0.000
0.000 0.000 0.500
0.000 0.500 0.000
0.500 0.000 0.000
0.500 0.500 0.500

No. 12
Ce2Bi2I, relaxed, DFT PBE-GGA; formation energy (no corrections) = -0.718 eV per atom
1.0
2.246 -9.116 0.000
2.246 9.116 0.000
0.000 0.000 8.374
Ce Bi I
4 4 2
direct
0.043 0.957 0.500
0.289 0.711 0.624
0.711 0.289 0.124
0.957 0.043 0.000
0.327 0.673 0.014
0.468 0.532 0.720
0.532 0.468 0.220
0.673 0.327 0.514
0.135 0.865 0.884
0.865 0.135 0.384